Record 1
Density functional theory data (PBE) for a relaxed structure of ZrPaTiOs.

The space group is F-43m (216). The value obtained for the formation energy is -0.1487 eV per atom.

Cell: 4.791 4.791 4.791 Å, 60.00 60.00 60.00°
Fractional positions:
Zr (0.000, 0.000, 0.000)
Pa (0.500, 0.500, 0.500)
Ti (0.250, 0.250, 0.250)
Os (0.750, 0.750, 0.750)



Record 2
Density functional theory data (PBE) for a relaxed structure of Pa2TlOs.

The space group is R-3m (166). The value obtained for the formation energy is 0.2532 eV per atom.

Cell: 10.174 10.174 10.174 Å, 21.29 21.29 21.29°
Fractional positions:
Pa (0.111, 0.111, 0.111)
Pa (0.889, 0.889, 0.889)
Tl (0.000, 0.000, 0.000)
Os (0.500, 0.500, 0.500)



Record 3
Density functional theory data (PBE) for a relaxed structure of Pa2TlOs.

The space group is P4/mmm (123). The value obtained for the formation energy is -0.1659 eV per atom.

Cell: 3.186 3.186 8.990 Å, 90.00 90.00 90.00°
Fractional positions:
Pa (0.000, 0.000, 0.212)
Pa (0.000, 0.000, 0.788)
Tl (0.500, 0.500, 0.500)
Os (0.500, 0.500, 0.000)



Record 4
Density functional theory data (PBE) for a relaxed structure of PaTlOs.

The space group is Immm (71). The value obtained for the formation energy is -0.0069 eV per atom.

Cell: 6.476 6.476 6.476 Å, 140.30 127.96 67.39°
Fractional positions:
Pa (0.206, 0.206, 0.000)
Pa (0.794, 0.794, 0.000)
Tl (0.248, 0.500, 0.748)
Tl (0.752, 0.500, 0.252)
Os (0.367, 0.867, 0.500)
Os (0.633, 0.133, 0.500)



Record 5
Density functional theory data (PBE) for a relaxed structure of TmPaOs.

The space group is F-43m (216). The value obtained for the formation energy is -0.0739 eV per atom.

Cell: 4.749 4.749 4.749 Å, 60.00 60.00 60.00°
Fractional positions:
Tm (0.000, 0.000, 0.000)
Pa (0.500, 0.500, 0.500)
Os (0.750, 0.750, 0.750)



Record 6
Density functional theory data (PBE) for a relaxed structure of TmPaOs4.

The space group is F-43m (216). The value obtained for the formation energy is -0.3010 eV per atom.

Cell: 5.351 5.351 5.351 Å, 60.00 60.00 60.00°
Fractional positions:
Tm (0.000, 0.000, 0.000)
Pa (0.250, 0.250, 0.250)
Os (0.124, 0.625, 0.625)
Os (0.625, 0.124, 0.625)
Os (0.625, 0.625, 0.124)
Os (0.625, 0.625, 0.625)



Record 7
Density functional theory data (PBE) for a relaxed structure of TmPa2Os2.

The space group is C2/m (12). The value obtained for the formation energy is -0.2418 eV per atom.

Cell: 6.433 6.433 10.944 Å, 114.87 114.87 33.90°
Fractional positions:
Tm (0.193, 0.193, 0.361)
Tm (0.807, 0.807, 0.639)
Pa (0.327, 0.327, 0.919)
Pa (0.437, 0.437, 0.285)
Pa (0.563, 0.563, 0.715)
Pa (0.673, 0.673, 0.081)
Os (0.033, 0.033, 0.892)
Os (0.121, 0.121, 0.583)
Os (0.879, 0.879, 0.417)
Os (0.967, 0.967, 0.108)



Record 8
Density functional theory data (PBE) for a relaxed structure of TmPa2Os.

The space group is P4/mmm (123). The value obtained for the formation energy is -0.0004 eV per atom.

Cell: 3.641 3.641 7.297 Å, 90.00 90.00 90.00°
Fractional positions:
Tm (0.000, 0.000, 0.000)
Pa (0.500, 0.500, 0.306)
Pa (0.500, 0.500, 0.694)
Os (0.000, 0.000, 0.500)